# Li4Fe3Sn3Sb2O16

Li4Fe3Sn3Sb2O16 after structural relaxation (PBE+U, Alexandria).

Results
The total energy is -6.084 eV per atom.

```
data_Li4Fe3Sn3Sb2O16
_space_group_name_H-M_alt 'C 1 m 1'
_space_group_IT_number 8
_space_group_name_Hall 'C -2y'
_cell_length_a 10.7812
_cell_length_b 6.1984
_cell_length_c 9.9435
_cell_angle_alpha 90.00
_cell_angle_beta 90.98
_cell_angle_gamma 90.00
loop_
_atom_site_label
_atom_site_type_symbol
_atom_site_fract_x
_atom_site_fract_y
_atom_site_fract_z
_atom_site_occupancy
Li1 Li 0.0000 0.0000 0.0000 1
Li2 Li 0.0097 0.0000 0.5159 1
Li3 Li 0.1660 0.5000 0.0838 1
Li4 Li 0.3300 0.0000 0.5954 1
Fe1 Fe 0.0756 0.2575 0.7840 1
Fe2 Fe 0.1643 0.0000 0.2816 1
Sn1 Sn 0.3206 0.5000 0.7823 1
Sn2 Sn 0.4079 0.2466 0.2828 1
Sb1 Sb 0.1499 0.5000 0.5164 1
Sb2 Sb 0.3193 0.0000 0.0045 1
O1 O 0.0093 0.5000 0.6405 1
O2 O 0.0736 0.2536 0.4026 1
O3 O 0.1588 0.0000 0.9128 1
O4 O 0.1625 0.5000 0.8882 1
O5 O 0.2363 0.2804 0.6385 1
O6 O 0.2580 0.2240 0.1473 1
O7 O 0.3257 0.5000 0.3977 1
O8 O 0.3295 0.0000 0.3923 1
O9 O 0.4029 0.2470 0.9084 1
O10 O 0.4753 0.0000 0.1506 1
O11 O 0.4883 0.5000 0.6975 1
O12 O 0.4924 0.5000 0.1880 1
```